# LaTb2RuO7 (SCAN, single point on PBEsol structure)
# Spin magnetization, μB per atom: 0.273
# Electronic total energy, eV per atom: -22.63
# E_form (uncorrected), eV/atom: -3.077
data_LaTb2RuO7
_chemical_formula_sum 'La4 Tb8 Ru4 O28'
_cell_length_a 10.533
_cell_length_b 7.322
_cell_length_c 7.444
_cell_angle_alpha 90.00
_cell_angle_beta 90.00
_cell_angle_gamma 90.00
_space_group_name_H-M_alt 'C m c m'
_space_group_IT_number 63
_space_group_name_Hall '-C 2c 2'
loop_
_atom_site_label
_atom_site_type_symbol
_atom_site_fract_x
_atom_site_fract_y
_atom_site_fract_z
La1 La 0.000 0.000 0.000
Tb1 Tb 0.222 0.299 0.250
Ru1 Ru 0.000 0.500 0.000
O1 O 0.000 0.411 0.250
O2 O 0.130 0.314 0.539
O3 O 0.139 0.024 0.250